The following is a DFT calculation (PBE with a Hubbard U) of an optimized crystal structure of V2NiPtO8.

Geometry as CIF:
```
data_V2NiPtO8
_space_group_name_H-M_alt 'P -3 m 1'
_space_group_IT_number 164
_space_group_name_Hall '-P 3 2"'
_cell_length_a 5.6509
_cell_length_b 5.6509
_cell_length_c 5.6831
_cell_angle_alpha 90.00
_cell_angle_beta 90.00
_cell_angle_gamma 120.00
loop_
_atom_site_label
_atom_site_type_symbol
_atom_site_fract_x
_atom_site_fract_y
_atom_site_fract_z
_atom_site_occupancy
V1 V 0.3333 0.6667 0.1957 1
Ni1 Ni 0.0000 0.0000 0.0000 1
Pt1 Pt 0.0000 0.0000 0.5000 1
O1 O 0.1529 0.3058 0.2629 1
O2 O 0.3333 0.6667 0.9109 1
```

- Raw total energy: -6.52 eV per atom
- N(E_F): 0.0 states/eV/cell
- Theoretical density: 5.1 g/cm³